DFT (PBE) results for a geometry-optimized SrNd2Tc structure.

Structure (POSCAR):
```
SrNd2Tc
1.0
3.605 0.000 0.000
0.000 3.605 0.000
0.000 0.000 10.023
Sr Nd Tc
1 2 1
direct
0.500 0.500 0.500
0.000 0.000 0.833
0.000 0.000 0.167
0.500 0.500 0.000
```

## Properties
The polymorph energy (0 for the lowest one) is 0.0 meV per atom. The space-group type is P4/mmm, No. 123. The formation energy is 136 meV/atom. The total DFT energy (no corrections) comes out at -5.26 eV/atom.